Entry 1:
An optimized crystal structure of CoMoP2Cl. Source: Alexandria via LeMat-Bulk, functional PBE-GGA.

Properties
calculated volume = 86.1 Å³ per cell
distance to the lowest polymorph of the same formula = 0.033 eV per atom
uncorrected formation energy = 766 meV/atom

Cell: 4.2923 4.2923 4.6758 Å, 90.00 90.00 90.00°
Space group P4/mmm (No. 123)
Inequivalent atoms, fractional coordinates:
Co 0.0000 0.0000 0.0000 x1
Mo 0.5000 0.5000 0.5000 x1
P 0.0000 0.5000 0.0000 x2
Cl 0.0000 0.0000 0.5000 x1

Entry 2:
An optimized crystal structure of CoMoP2Cl. Source: Alexandria via LeMat-Bulk, functional PBE-GGA.

Properties
calculated volume = 106.8 Å³ per cell
distance to the lowest polymorph of the same formula = 0.000 eV per atom
uncorrected formation energy = 733 meV/atom

Cell: 4.6016 4.6016 5.0432 Å, 90.00 90.00 90.00°
Space group P4/mmm (No. 123)
Inequivalent atoms, fractional coordinates:
Co 0.0000 0.0000 0.0000 x1
Mo 0.0000 0.0000 0.5000 x1
P 0.0000 0.5000 0.5000 x2
Cl 0.5000 0.5000 0.0000 x1

Entry 3:
An optimized crystal structure of CoMoPCl2. Source: Alexandria via LeMat-Bulk, functional PBE-GGA.

Properties
calculated volume = 92.1 Å³ per cell
uncorrected formation energy = 697 meV/atom

Cell: 4.4283 4.4283 4.6948 Å, 90.00 90.00 90.00°
Space group P4/mmm (No. 123)
Inequivalent atoms, fractional coordinates:
Co 0.0000 0.0000 0.0000 x1
Mo 0.5000 0.5000 0.5000 x1
P 0.0000 0.0000 0.5000 x1
Cl 0.0000 0.5000 0.0000 x2